DFT (PBE-GGA) results for K2CrRh after structural relaxation.

The total moment comes out at 4.16 μB per cell. As for the total energy: -3.70 eV/atom.

Geometry as extended XYZ:
```
4
Lattice="-4.242 -4.630 -9.719 -1.198 -4.536 -10.578 -2.300 -6.998 -8.924" Properties=species:S:1:pos:R:3 pbc="T T T"
Cr -5.804 -12.122 -21.916
K -7.669 -16.017 -28.957
K -3.939 -8.228 -14.875
Rh -1.935 -4.041 -7.305
```


DFT (PBE-GGA) results for KCrRh after structural relaxation.

The total moment comes out at 0.00 μB per cell. As for the total energy: -5.13 eV/atom.

Geometry as extended XYZ:
```
3
Lattice="-2.207 -0.332 1.744 -0.221 -0.748 -2.723 2.478 -7.173 1.769" Properties=species:S:1:pos:R:3 pbc="T T T"
K -0.704 -2.906 0.856
Cr 2.355 -6.818 1.682
Rh 0.876 -5.703 0.022
```


DFT (PBE-GGA) results for KCrRh2 after structural relaxation.

The total moment comes out at 0.26 μB per cell. As for the total energy: -5.90 eV/atom.

Geometry as extended XYZ:
```
4
Lattice="9.750 -0.025 -0.015 9.350 2.766 -0.015 9.350 1.341 2.419" Properties=species:S:1:pos:R:3 pbc="T T T"
K 21.337 3.061 1.792
Rh 27.993 4.016 2.351
Rh 14.681 2.106 1.233
Cr 7.112 1.020 0.597
```


DFT (PBE-GGA) results for KCrRh2 after structural relaxation.

The total moment comes out at 2.39 μB per cell. As for the total energy: -6.07 eV/atom.

Geometry as extended XYZ:
```
4
Lattice="2.908 0.000 0.000 0.000 2.909 0.000 0.000 0.000 8.455" Properties=species:S:1:pos:R:3 pbc="T T T"
Rh 0.000 0.000 3.650
Rh 0.000 0.000 0.578
Cr 1.454 1.454 2.114
K 1.454 1.454 6.341
```


DFT (PBE-GGA) results for K2CrRh after structural relaxation.

The total moment comes out at 4.90 μB per cell. As for the total energy: -3.61 eV/atom.

Geometry as extended XYZ:
```
4
Lattice="0.000 3.837 3.837 3.837 0.000 3.837 3.837 3.837 0.000" Properties=species:S:1:pos:R:3 pbc="T T T"
K 1.919 1.919 1.919
Cr 0.000 0.000 0.000
K 5.756 5.756 5.756
Rh 3.837 3.837 3.837
```


DFT (PBE-GGA) results for KCrRh2 after structural relaxation.

The total moment comes out at 3.40 μB per cell. As for the total energy: -5.77 eV/atom.

Geometry as extended XYZ:
```
4
Lattice="-2.409 0.193 1.783 1.645 -0.952 2.326 2.050 8.156 1.886" Properties=species:S:1:pos:R:3 pbc="T T T"
Rh 0.140 1.698 2.535
Cr 0.859 3.417 0.790
K 1.193 5.887 3.504
Rh 0.119 0.474 0.110
```


DFT (PBE-GGA) results for KCrRh2 after structural relaxation.

The total moment comes out at 3.06 μB per cell. As for the total energy: -5.38 eV/atom.

Geometry as extended XYZ:
```
4
Lattice="4.978 0.104 0.000 1.278 4.812 0.000 -3.128 -2.458 2.994" Properties=species:S:1:pos:R:3 pbc="T T T"
K 2.489 0.052 1.497
Rh 0.000 0.000 0.000
Cr 3.128 2.458 0.000
Rh 0.639 2.406 1.497
```


DFT (PBE-GGA) results for K2CrRh after structural relaxation.

The total moment comes out at 3.53 μB per cell. As for the total energy: -4.27 eV/atom.

Geometry as extended XYZ:
```
4
Lattice="-7.792 1.230 6.614 -6.956 -1.916 7.343 1.883 1.219 3.098" Properties=species:S:1:pos:R:3 pbc="T T T"
K -8.141 0.070 9.641
K -13.038 -0.490 12.844
Rh -3.216 0.133 4.264
Cr -9.648 0.399 12.791
```


DFT (PBE-GGA) results for KCrRh after structural relaxation.

The total moment comes out at 4.22 μB per cell. As for the total energy: -4.99 eV/atom.

Geometry as extended XYZ:
```
3
Lattice="-4.093 -2.287 -1.147 4.034 -0.870 -2.504 0.727 -2.289 1.968" Properties=species:S:1:pos:R:3 pbc="T T T"
K -1.141 -2.578 -0.943
Rh 1.931 -3.249 -0.413
Cr 0.607 -1.909 1.641
```


DFT (PBE-GGA) results for K3CrRh3Se8 after structural relaxation.

The total moment comes out at 2.16 μB per cell. The calculation puts the uncorrected formation energy at -0.665 eV/atom. As for the total energy: -4.85 eV/atom.

Geometry as extended XYZ:
```
15
Lattice="7.581 -0.001 -0.001 -3.791 6.578 -0.029 0.000 -4.364 7.461" Properties=species:S:1:pos:R:3 pbc="T T T"
Se 3.790 2.179 2.415
Se 1.877 3.292 5.001
K 0.000 0.000 0.000
Rh 3.791 -2.182 3.730
Se 3.790 0.014 4.964
Se -1.878 3.293 5.001
K -1.896 3.289 -0.015
Se -0.001 0.035 5.016
Cr 0.000 -2.182 3.731
Se 1.913 -1.078 2.430
Se 5.668 -1.079 2.430
Rh -1.896 1.107 3.716
Se 0.000 2.200 2.467
K 1.895 3.289 -0.015
Rh 1.895 1.107 3.716
```


DFT (PBE-GGA) results for KCrRh2Se after structural relaxation.

The total moment comes out at 2.58 μB per cell. The calculation puts the uncorrected formation energy at 0.934 eV/atom. As for the total energy: -4.85 eV/atom.

Geometry as extended XYZ:
```
5
Lattice="4.529 0.000 0.000 0.000 5.685 0.000 0.000 0.000 4.529" Properties=species:S:1:pos:R:3 pbc="T T T"
Cr 0.000 0.000 0.000
Rh 0.000 0.000 2.265
Rh 2.265 0.000 0.000
K 0.000 2.843 0.000
Se 2.265 2.843 2.265
```


DFT (PBE-GGA) results for KCr2RhW after structural relaxation.

The total moment comes out at 1.04 μB per cell. As for the total energy: -6.25 eV/atom.

Geometry as extended XYZ:
```
5
Lattice="-3.537 0.229 3.080 2.026 -3.592 2.594 2.393 3.164 2.512" Properties=species:S:1:pos:R:3 pbc="T T T"
Cr 1.196 1.582 1.256
W 1.013 -1.796 1.297
Cr -1.768 0.115 1.540
K 0.441 -0.099 4.093
Rh 0.000 0.000 0.000
```


DFT (PBE-GGA) results for KCr2Ru after structural relaxation.

The total moment comes out at 3.89 μB per cell. As for the total energy: -5.91 eV/atom.

Geometry as extended XYZ:
```
4
Lattice="-3.226 1.916 -4.115 -1.325 -4.797 2.430 -1.874 0.748 1.531" Properties=species:S:1:pos:R:3 pbc="T T T"
Ru -2.276 -1.440 -0.842
K -1.600 -2.025 1.980
Cr 0.000 0.000 0.000
Cr -2.550 1.332 -1.292
```


DFT (PBE-GGA) results for KCr2Ru after structural relaxation.

The total moment comes out at 1.79 μB per cell. As for the total energy: -6.05 eV/atom.

Geometry as extended XYZ:
```
4
Lattice="-1.470 0.366 2.607 -3.098 -3.784 -1.214 2.976 -3.115 2.115" Properties=species:S:1:pos:R:3 pbc="T T T"
K 0.753 -1.374 2.361
Ru -0.061 -3.449 0.450
Cr 0.000 0.000 0.000
Cr -2.284 -1.709 0.697
```


DFT (PBE-GGA) results for KCrRu2 after structural relaxation.

The total moment comes out at 2.32 μB per cell. As for the total energy: -5.99 eV/atom.

Geometry as extended XYZ:
```
4
Lattice="-4.740 -0.076 -2.693 0.185 -2.298 4.940 -0.665 2.322 1.105" Properties=species:S:1:pos:R:3 pbc="T T T"
Ru -2.277 -1.187 1.124
Ru 0.000 0.000 0.000
Cr -2.702 1.123 -0.794
K -0.240 0.012 3.023
```


DFT (PBE-GGA) results for KCrRu3 after structural relaxation.

The total moment comes out at 1.10 μB per cell. As for the total energy: -6.42 eV/atom.

Geometry as extended XYZ:
```
5
Lattice="4.571 0.000 0.000 0.000 4.571 0.000 0.000 0.000 4.571" Properties=species:S:1:pos:R:3 pbc="T T T"
Ru 2.285 0.000 0.000
Ru 0.000 2.285 0.000
Ru 0.000 0.000 2.285
Cr 0.000 0.000 0.000
K 2.285 2.285 2.285
```


DFT (PBE-GGA) results for KCrRu2 after structural relaxation.

The total moment comes out at 3.78 μB per cell. As for the total energy: -6.53 eV/atom.

Geometry as extended XYZ:
```
4
Lattice="-0.877 0.181 -2.741 -1.654 -2.332 0.375 -6.926 5.325 2.566" Properties=species:S:1:pos:R:3 pbc="T T T"
K -6.566 2.999 0.781
Cr -2.956 2.273 1.095
Ru -2.968 0.233 -0.552
Ru -0.429 0.330 0.159
```


DFT (PBE-GGA) results for KCrRu2 after structural relaxation.

The total moment comes out at 0.00 μB per cell. As for the total energy: -6.64 eV/atom.

Geometry as extended XYZ:
```
4
Lattice="10.029 0.022 0.013 9.646 2.747 0.013 9.646 1.358 2.388" Properties=species:S:1:pos:R:3 pbc="T T T"
Ru 28.859 4.062 2.376
Ru 15.122 2.128 1.245
Cr 7.330 1.032 0.604
K 21.991 3.095 1.811
```


DFT (PBE-GGA) results for KCr2Ru after structural relaxation.

The total moment comes out at 0.00 μB per cell. As for the total energy: -6.62 eV/atom.

Geometry as extended XYZ:
```
4
Lattice="2.864 0.000 0.000 0.000 3.759 0.000 0.000 0.000 7.572" Properties=species:S:1:pos:R:3 pbc="T T T"
Cr 0.000 0.000 6.674
K 1.432 1.879 1.893
Ru 1.432 1.879 5.679
Cr 0.000 0.000 4.684
```


DFT (PBE-GGA) results for KCr2Ru after structural relaxation.

The total moment comes out at 0.00 μB per cell. As for the total energy: -6.37 eV/atom.

Geometry as extended XYZ:
```
4
Lattice="10.365 0.011 0.006 10.010 2.692 0.006 10.010 1.328 2.342" Properties=species:S:1:pos:R:3 pbc="T T T"
K 7.596 1.008 0.589
Ru 22.789 3.023 1.766
Cr 0.473 0.063 0.037
Cr 14.719 1.952 1.140
```